<a>
Pr4Nd2Er5 after structural relaxation, computed with GGA-PBE.

Cell lengths 12.6046, 12.6046, 12.6046 Å; angles 163.86, 136.81, 46.40 degrees
Closest atoms and distances in Å follow each position.
Positions (direct):
Pr: 0.0960 0.0960 0.0000  1 Nd 3.13, 4 Pr 3.43
Pr: 0.2073 0.5000 0.7073  4 Er 3.24-3.46, 6 Pr 3.43-3.54
Pr: 0.7927 0.5000 0.2927  4 Er 3.24-3.46, 6 Pr 3.43-3.54
Pr: 0.9040 0.9040 0.0000  1 Nd 3.13, 4 Pr 3.43
Nd: 0.2311 0.2311 0.0000  1 Pr 3.13, 2 Er 3.41
Nd: 0.7689 0.7689 0.0000  1 Pr 3.13, 2 Er 3.41
Er: 0.1624 0.3560 0.8065  1 Nd 3.41, 3 Pr 3.46-3.53, 3 Er 3.54-3.59
Er: 0.4505 0.6440 0.8065  1 Nd 3.41, 3 Pr 3.46-3.53, 3 Er 3.54-3.59
Er: 0.5000 0.0000 0.5000  4 Pr 3.24, 2 Er 3.54
Er: 0.5495 0.3560 0.1935  1 Nd 3.41, 3 Pr 3.46-3.53, 3 Er 3.54-3.59
Er: 0.8376 0.6440 0.1935  1 Nd 3.41, 3 Pr 3.46-3.53, 3 Er 3.54-3.59

Calculated values
SG: No. 71
N(E_F) (states/eV/cell): 15.824

<b>
Pr4Nd2Er5 after structural relaxation, computed with GGA-PBE.

Cell lengths 3.6064, 8.6943, 11.9168 Å; angles 89.64, 83.73, 89.54 degrees
Closest atoms and distances in Å follow each position.
Positions (direct):
Pr: 0.0097 0.2055 0.4722  4 Pr 3.51-3.63, 8 Er 3.57-3.80
Pr: 0.1144 0.2538 0.1774  5 Er 3.26-3.64, 3 Pr 3.51-3.61, 2 Nd 3.55-3.64
Pr: 0.8856 0.7462 0.8226  5 Er 3.26-3.64, 3 Pr 3.51-3.61, 2 Nd 3.55-3.64
Pr: 0.9903 0.7945 0.5278  4 Pr 3.51-3.63, 8 Er 3.57-3.80
Nd: 0.1488 0.6495 0.1006  5 Er 3.47-3.72, 2 Pr 3.55-3.64, 3 Nd 3.61-3.79
Nd: 0.8512 0.3505 0.8994  5 Er 3.47-3.72, 2 Pr 3.55-3.64, 3 Nd 3.61-3.79
Er: 0.4085 0.0758 0.7174  4 Er 3.48-3.61, 6 Pr 3.57-3.80, 2 Nd 3.67-3.72
Er: 0.4561 0.4713 0.6492  4 Er 3.53-3.61, 6 Pr 3.58-3.64, 2 Nd 3.59-3.65
Er: 0.5000 0.0000 0.0000  2 Pr 3.26, 2 Nd 3.47, 4 Er 3.48-3.61
Er: 0.5439 0.5287 0.3508  4 Er 3.53-3.61, 6 Pr 3.58-3.64, 2 Nd 3.59-3.65
Er: 0.5915 0.9242 0.2826  4 Er 3.48-3.61, 6 Pr 3.57-3.80, 2 Nd 3.67-3.72

Calculated values
SG: No. 2
N(E_F) (states/eV/cell): 18.730

Least stable structure: <a>

<a>
PrNd4Er after structural relaxation, computed with GGA-PBE.

Cell lengths 6.3747, 6.3747, 6.0847 Å; angles 90.19, 90.19, 57.09 degrees
Closest atoms and distances in Å follow each position.
Positions (direct):
Pr: 0.0000 0.0000 0.0000  10 Nd 3.50-3.78
Nd: 0.1647 0.1647 0.4905  2 Pr 3.50-3.61, 3 Er 3.56-3.76, 5 Nd 3.59-3.69
Nd: 0.3374 0.3374 0.9883  2 Er 3.49-3.60, 3 Pr 3.55-3.78, 5 Nd 3.59-3.64
Nd: 0.6626 0.6626 0.0117  2 Er 3.49-3.60, 3 Pr 3.55-3.78, 5 Nd 3.59-3.64
Nd: 0.8353 0.8353 0.5095  2 Pr 3.50-3.61, 3 Er 3.56-3.76, 5 Nd 3.59-3.69
Er: 0.5000 0.5000 0.5000  10 Nd 3.49-3.76

Calculated values
SG: No. 12
N(E_F) (states/eV/cell): 11.797

<b>
PrNd4Er after structural relaxation, computed with GGA-PBE.

Cell lengths 6.2083, 6.2083, 11.7141 Å; angles 118.29, 118.29, 32.72 degrees
Closest atoms and distances in Å follow each position.
Positions (direct):
Pr: 0.0000 0.0000 0.0000  2 Pr 3.50, 8 Nd 3.54-3.69
Nd: 0.1868 0.1868 0.8412  1 Er 3.48, 6 Nd 3.50-3.69, 3 Pr 3.54-3.69
Nd: 0.1913 0.1913 0.3471  6 Nd 3.50-3.63, 3 Er 3.53-3.64, 1 Pr 3.55
Nd: 0.8087 0.8087 0.6529  6 Nd 3.50-3.63, 3 Er 3.53-3.64, 1 Pr 3.55
Nd: 0.8132 0.8132 0.1588  1 Er 3.48, 6 Nd 3.50-3.69, 3 Pr 3.54-3.69
Er: 0.0000 0.0000 0.5000  8 Nd 3.48-3.64, 2 Er 3.50

Calculated values
SG: No. 12
N(E_F) (states/eV/cell): 11.456

Least stable structure: <b>

<a>
Pr4NdEr6 after structural relaxation, computed with GGA-PBE.

Cell lengths 9.7195, 9.7195, 9.7195 Å; angles 139.60, 139.60, 58.46 degrees
Closest atoms and distances in Å follow each position.
Positions (direct):
Pr: 0.0150 0.6331 0.0000  5 Er 3.42-3.67, 1 Nd 3.49, 1 Pr 3.62
Pr: 0.3669 0.3669 0.3818  5 Er 3.42-3.67, 1 Nd 3.49, 1 Pr 3.62
Pr: 0.6331 0.0150 0.0000  5 Er 3.42-3.67, 1 Nd 3.49, 1 Pr 3.62
Pr: 0.9850 0.9850 0.6182  5 Er 3.42-3.67, 1 Nd 3.49, 1 Pr 3.62
Nd: 0.0000 0.0000 0.0000  8 Er 3.36-3.70, 4 Pr 3.49
Er: 0.0000 0.5000 0.5000  4 Er 3.23, 2 Nd 3.36
Er: 0.2002 0.2002 0.6453  3 Er 3.23-3.37, 3 Pr 3.42-3.50
Er: 0.4451 0.7998 0.0000  3 Er 3.23-3.37, 3 Pr 3.42-3.50
Er: 0.5000 0.0000 0.5000  4 Er 3.23, 2 Nd 3.36
Er: 0.5549 0.5549 0.3547  3 Er 3.23-3.37, 3 Pr 3.42-3.50
Er: 0.7998 0.4451 0.0000  3 Er 3.23-3.37, 3 Pr 3.42-3.50

Calculated values
SG: No. 121
N(E_F) (states/eV/cell): 14.363

<b>
Pr4NdEr6 after structural relaxation, computed with GGA-PBE.

Cell lengths 11.0462, 11.0462, 3.5408 Å; angles 90.00, 90.00, 120.00 degrees
Closest atoms and distances in Å follow each position.
Positions (direct):
Pr: 0.0000 0.0000 0.0000  3 Er 3.10
Pr: 0.0630 0.5315 0.5000  6 Er 3.47-3.56, 2 Pr 3.54
Pr: 0.4685 0.5315 0.5000  6 Er 3.47-3.56, 2 Pr 3.54
Pr: 0.4685 0.9370 0.5000  6 Er 3.47-3.56, 2 Pr 3.54
Nd: 0.6667 0.3333 0.0000  2 Nd 3.54, 6 Er 3.71
Er: 0.1622 0.3244 0.0000  5 Pr 3.10-3.47
Er: 0.1622 0.8378 0.0000  5 Pr 3.10-3.47
Er: 0.3260 0.1630 0.5000  6 Er 3.54-3.58, 4 Pr 3.56-3.59, 2 Nd 3.71
Er: 0.6756 0.8378 0.0000  5 Pr 3.10-3.47
Er: 0.8370 0.1630 0.5000  6 Er 3.54-3.58, 4 Pr 3.56-3.59, 2 Nd 3.71
Er: 0.8370 0.6740 0.5000  6 Er 3.54-3.58, 4 Pr 3.56-3.59, 2 Nd 3.71

Calculated values
SG: No. 187
N(E_F) (states/eV/cell): 15.284

Least stable structure: <a>